[1]
! GGA-PBE Np2Ga5I12, optimized geometry; values from VASP
! Space group: No. 12
! E: -3.66 eV/atom
! Volume: 842.4 Å³/cell
! Uncorrected formation energy: -0.522 eV per atom
! M_tot: 6.986 μB per cell
! Crystal system: monoclinic
&SYSTEM
  ibrav = 0, nat = 19, ntyp = 3
/
ATOMIC_SPECIES
I 126.90 I.upf
Np 237.00 Np.upf
Ga 69.72 Ga.upf
ATOMIC_POSITIONS angstrom
I -7.419 5.471 4.021
I -2.431 8.154 2.624
I -4.576 5.286 7.229
I -6.635 0.728 2.979
I -8.667 -3.326 1.579
I -5.891 -3.529 5.017
I -3.719 0.538 6.269
I -4.463 4.101 1.224
I -6.521 -0.458 -3.025
I -3.679 -0.642 0.182
I -7.379 4.290 -2.066
I -5.207 8.357 -0.814
Np -4.384 0.285 -4.947
Np -1.472 0.096 -1.661
Ga -6.380 1.581 -0.165
Ga -6.949 5.741 0.579
Ga -4.149 -0.913 3.624
Ga -4.718 3.247 4.368
Ga -1.358 5.133 1.499
CELL_PARAMETERS angstrom
-5.856 0.380 -6.608
-2.527 -5.817 7.814
-2.715 10.266 2.997



[2]
! GGA-PBE Tl5AuS4, optimized geometry; values from VASP
! Space group: No. 59
! E: -3.40 eV/atom
! Volume: 659.5 Å³/cell
! Uncorrected formation energy: -0.236 eV per atom
! M_tot: 0.000 μB per cell
! Crystal system: orthorhombic
&SYSTEM
  ibrav = 0, nat = 20, ntyp = 3
/
ATOMIC_SPECIES
Tl 204.38 Tl.upf
Au 196.97 Au.upf
S 32.06 S.upf
ATOMIC_POSITIONS angstrom
Tl 5.962 2.189 6.800
Tl 5.962 6.145 2.980
Tl 7.104 4.167 0.000
Tl 2.129 6.355 7.871
Tl 0.987 0.000 4.890
Tl 5.962 2.189 2.980
Tl 2.129 1.978 1.910
Tl 2.129 6.355 1.910
Tl 2.129 1.978 7.871
Tl 5.962 6.145 6.800
Au 2.521 4.167 4.890
Au 5.570 0.000 0.000
S 5.210 2.299 0.000
S 2.882 6.465 4.890
S 2.882 1.868 4.890
S 7.934 0.000 7.152
S 0.157 4.167 2.261
S 0.157 4.167 7.519
S 5.210 6.035 0.000
S 7.934 0.000 2.629
CELL_PARAMETERS angstrom
8.091 0.000 0.000
0.000 8.333 0.000
0.000 0.000 9.781



[3]
! GGA-PBE NbAs3S, optimized geometry; values from VASP
! Space group: No. 221
! E: -4.78 eV/atom
! Volume: 101.7 Å³/cell
! Uncorrected formation energy: 0.851 eV per atom
! Relative energy among the computed polymorphs: 0.308 eV/atom
! M_tot: 0.000 μB per cell
! Crystal system: cubic
&SYSTEM
  ibrav = 0, nat = 5, ntyp = 3
/
ATOMIC_SPECIES
S 32.06 S.upf
As 74.92 As.upf
Nb 92.91 Nb.upf
ATOMIC_POSITIONS angstrom
S 0.000 0.000 0.000
As 2.334 0.000 0.000
As 0.000 0.000 2.334
As 0.000 2.334 0.000
Nb 2.334 2.334 2.334
CELL_PARAMETERS angstrom
4.667 0.000 0.000
0.000 4.667 0.000
0.000 0.000 4.667



[4]
! GGA-PBE BaHoEr4S8, optimized geometry; values from VASP
! Space group: No. 160
! E: -6.08 eV/atom
! Volume: 387.2 Å³/cell
! Uncorrected formation energy: -1.957 eV per atom
! M_tot: 0.000 μB per cell
! Crystal system: trigonal
&SYSTEM
  ibrav = 0, nat = 14, ntyp = 4
/
ATOMIC_SPECIES
S 32.06 S.upf
Ba 137.33 Ba.upf
Er 167.26 Er.upf
Ho 164.93 Ho.upf
ATOMIC_POSITIONS angstrom
S -9.733 -10.762 3.706
S -5.106 -6.980 -0.093
S -6.943 -4.067 2.121
S -6.055 -10.043 2.790
S -8.973 -8.050 0.724
S -4.186 -6.376 4.077
S -3.624 -3.415 1.294
S -7.973 -7.394 5.252
Ba -8.842 -6.104 2.835
Er -5.674 -4.207 -0.222
Er -4.814 -3.643 3.673
Er -4.314 -8.165 2.134
Er -3.928 -0.780 0.980
Ho -7.775 -1.525 1.937
CELL_PARAMETERS angstrom
-3.543 -6.953 -2.439
-1.798 -5.809 5.466
-7.809 -1.510 1.942



[5]
! GGA-PBE Pm7Ru3, optimized geometry; values from VASP
! Space group: No. 186
! E: -6.33 eV/atom
! Volume: 548.9 Å³/cell
! DFT formation energy: -0.2216 eV/atom
! M_tot: 0.000 μB per cell
! Crystal system: hexagonal
&SYSTEM
  ibrav = 0, nat = 20, ntyp = 2
/
ATOMIC_SPECIES
Ru 101.07 Ru.upf
Pm 145.00 Pm.upf
ATOMIC_POSITIONS angstrom
Ru 2.317 5.008 5.440
Ru 2.317 7.215 1.617
Ru 5.476 -2.208 7.057
Ru 2.317 2.800 1.617
Ru 5.476 0.000 3.233
Ru 5.476 2.208 7.057
Pm 5.869 1.876 1.083
Pm 3.928 5.008 0.717
Pm 2.710 -3.131 7.590
Pm 0.769 1.883 4.695
Pm 5.869 5.008 6.507
Pm 0.769 -1.883 4.695
Pm 4.148 0.000 5.782
Pm 3.928 3.125 3.978
Pm 2.710 0.000 2.167
Pm 3.928 6.890 3.978
Pm 2.710 3.131 7.590
Pm 0.989 5.008 2.891
Pm 0.769 0.000 7.956
Pm 5.869 8.139 1.083
CELL_PARAMETERS angstrom
6.319 0.000 0.000
0.000 10.015 0.000
0.000 -5.008 8.673



[6]
! GGA-PBE Gd2MgTl, optimized geometry; values from VASP
! Space group: No. 166
! E: -7.93 eV/atom
! Volume: 123.7 Å³/cell
! DFT formation energy: 0.1053 eV/atom
! Relative energy among the computed polymorphs: 0.377 eV/atom
! M_tot: 14.965 μB per cell
! Crystal system: trigonal
&SYSTEM
  ibrav = 0, nat = 4, ntyp = 3
/
ATOMIC_SPECIES
Gd 157.25 Gd.upf
Tl 204.38 Tl.upf
Mg 24.30 Mg.upf
ATOMIC_POSITIONS angstrom
Gd 5.449 -5.504 4.166
Gd -0.797 -6.475 2.065
Tl 0.000 0.000 0.000
Mg 2.326 -5.990 3.115
CELL_PARAMETERS angstrom
-2.241 -1.949 1.808
-1.037 -3.073 -1.253
7.930 -6.957 5.675



[7]
! GGA-PBE Mg2InH, optimized geometry; values from VASP
! Space group: No. 12
! E: -2.39 eV/atom
! Volume: 283.6 Å³/cell
! Relative energy among the computed polymorphs: 0.006 eV/atom
! M_tot: 0.000 μB per cell
! Crystal system: monoclinic
&SYSTEM
  ibrav = 0, nat = 16, ntyp = 3
/
ATOMIC_SPECIES
In 114.82 In.upf
Mg 24.30 Mg.upf
H 1.01 H.upf
ATOMIC_POSITIONS angstrom
In 1.038 -0.099 -8.418
In -0.892 -2.228 -6.740
In -1.940 -1.447 -3.854
In -1.097 1.491 -2.541
Mg 0.000 0.000 0.000
Mg 1.247 -4.495 -7.068
Mg 1.042 -0.776 -2.869
Mg -0.029 0.696 -5.479
Mg -0.837 -2.943 -1.331
Mg 0.205 -3.719 -4.200
Mg 2.141 -1.595 -5.895
Mg -3.007 -0.652 -0.916
H -1.202 -5.136 -4.327
H -4.607 0.113 -1.704
H -1.407 -1.417 -0.127
H -1.629 1.461 -6.268
CELL_PARAMETERS angstrom
-3.242 3.763 -2.195
3.183 -2.371 -8.764
-2.772 -5.067 0.364



[8]
! GGA-PBE LiAcSmAl, optimized geometry; values from VASP
! Space group: No. 216
! E: -3.76 eV/atom
! Volume: 114.4 Å³/cell
! DFT formation energy: -0.1344 eV/atom
! M_tot: 0.000 μB per cell
! Crystal system: cubic
&SYSTEM
  ibrav = 0, nat = 4, ntyp = 4
/
ATOMIC_SPECIES
Al 26.98 Al.upf
Ac 227.00 Ac.upf
Sm 150.36 Sm.upf
Li 6.94 Li.upf
ATOMIC_POSITIONS angstrom
Al 0.000 0.000 0.000
Ac 8.174 4.719 3.337
Sm 2.725 1.573 1.112
Li 5.449 3.146 2.225
CELL_PARAMETERS angstrom
5.449 0.000 0.000
2.725 4.719 0.000
2.725 1.573 4.449